Here is La3IrPb after structural relaxation from Alexandria via LeMat-Bulk. Energies are from PBE-GGA.

a b c (Å): 7.5288 4.7589 9.2550
angles (deg): 90.00 100.28 90.00
Space group P2_1/m (No. 11)
Symmetry-distinct sites (fractional):
La (0.0560, 0.2500, 0.3433) x2
La (0.2584, 0.2500, 0.9408) x2
La (0.4180, 0.7500, 0.6060) x2
Ir (0.2057, 0.2500, 0.6373) x2
Pb (0.3139, 0.7500, 0.1924) x2

Properties
Energy relative to the lowest polymorph listed for this composition = 90.6 meV per atom
DFT formation energy = -596 meV/atom